RbSbOs2: optimized geometry, PBE.

Output
The crystal system is tetragonal. The value obtained for the formation energy without anion corrections is 1120 meV per atom. The total DFT energy (no corrections) comes out at -46.1 eV per cell.

a b c (Å): 4.995 4.995 9.919
angles (deg): 75.42 75.42 90.00
Last column: magnetic moment on the atom in μB.
Fractional coordinates of all 8 atoms:
1 Rb 0.250 0.750 0.500  0.00
2 Os 0.375 0.111 0.750  0.14
3 Os 0.889 0.125 0.250  0.17
4 Sb 0.000 0.000 0.000  0.00
5 Os 0.875 0.139 0.750  0.14
6 Os 0.861 0.625 0.250  0.17
7 Sb 0.750 0.250 0.500  0.00
8 Rb 0.500 0.500 0.000  0.00

***

TlCO2F: optimized geometry, PBE.

Output
The crystal system is tetragonal. The value obtained for the formation energy without anion corrections is 1260 meV per atom. The total DFT energy (no corrections) comes out at -17.1 eV per cell.

a b c (Å): 4.241 4.241 4.349
angles (deg): 90.00 90.00 90.00
Fractional coordinates of all 5 atoms:
1 F 0.000 0.000 0.500
2 O 0.000 0.500 0.000
3 C 0.500 0.500 0.500
4 Tl 0.000 0.000 0.000
5 O 0.500 0.000 0.000

***

Mn2NbZnC: optimized geometry, PBE.

Output
The value obtained for the formation energy from the elements is -6 meV per atom. The crystal system is tetragonal. The total DFT energy (no corrections) comes out at -38.9 eV per cell.

a b c (Å): 3.857 3.857 4.326
angles (deg): 90.00 90.00 90.00
Last column: magnetic moment on the atom in μB.
Fractional coordinates of all 5 atoms:
1 Mn 0.500 0.000 0.000  1.95
2 Mn 0.000 0.500 0.000  1.95
3 Zn 0.500 0.500 0.500  -0.03
4 Nb 0.000 0.000 0.500  -0.07
5 C 0.000 0.000 0.000  -0.08

***

CrFeGe2: optimized geometry, PBE.

Output
The value obtained for the formation energy from the elements is 79 meV per atom. Its energy above the most stable polymorph in this dataset is 0.118 eV/atom. The crystal system is tetragonal. The total DFT energy (no corrections) comes out at -27.0 eV per cell.

a b c (Å): 2.908 2.908 6.128
angles (deg): 90.00 90.00 90.00
Last column: magnetic moment on the atom in μB.
Fractional coordinates of all 4 atoms:
1 Cr 0.500 0.500 0.500  2.07
2 Ge 0.000 0.000 0.233  -0.03
3 Fe 0.500 0.500 0.000  -0.30
4 Ge 0.000 0.000 0.767  -0.03

***

> Which value of total DFT energy (no corrections) does entry 4 give?

-27.0 eV per cell

***

> Which formula does entry 3 have?

Mn2NbZnC

***

> Which value of total DFT energy (no corrections) does entry 2 give?

-17.1 eV per cell

***

> Among the records above, which one has the lowest total DFT energy (no corrections)?

RbSbOs2